i.
First-principles (PBE-GGA) data for YTeC3 after structural relaxation, as listed in Alexandria.

a b c (Å): 4.190 4.190 4.190
angles (deg): 90.00 90.00 90.00
Space group Pm-3m (No. 221)
Unique sites:
Y (0.000, 0.000, 0.000)
Te (0.500, 0.500, 0.500)
C (0.000, 0.500, 0.500)

For the volume, the calculation gives 14.71 Å³/atom.


ii.
First-principles (PBE-GGA) data for YTeC3 after structural relaxation, as listed in Alexandria.

a b c (Å): 4.547 4.547 4.547
angles (deg): 90.00 90.00 90.00
Space group Pm-3m (No. 221)
Unique sites:
Y (0.000, 0.000, 0.000)
Te (0.500, 0.500, 0.500)
C (0.000, 0.000, 0.500)

For the volume, the calculation gives 18.80 Å³/atom.


i is favored, and the nearest alternative lies 73.4 kJ/mol of atoms above it.


i.
First-principles (PBE-GGA) data for Zn3TeC after structural relaxation, as listed in Alexandria.

a b c (Å): 5.464 5.464 5.464
angles (deg): 90.00 90.00 90.00
Space group Pm-3m (No. 221)
Unique sites:
Zn (0.000, 0.000, 0.500)
Te (0.000, 0.000, 0.000)
C (0.500, 0.500, 0.500)

For the volume, the calculation gives 32.63 Å³/atom.


ii.
First-principles (PBE-GGA) data for Zn3TeC after structural relaxation, as listed in Alexandria.

a b c (Å): 4.346 4.346 4.346
angles (deg): 90.00 90.00 90.00
Space group Pm-3m (No. 221)
Unique sites:
Zn (0.000, 0.000, 0.500)
Te (0.500, 0.500, 0.500)
C (0.000, 0.000, 0.000)

For the volume, the calculation gives 16.42 Å³/atom.


ii is favored, and the nearest alternative lies 130.6 kJ/mol of atoms above it.


i.
First-principles (PBE-GGA) data for Zn2TeC after structural relaxation, as listed in Alexandria.

a b c (Å): 6.490 6.490 6.490
angles (deg): 90.00 90.00 90.00
Space group Fm-3m (No. 225)
Unique sites:
Zn (0.250, 0.250, 0.250)
Te (0.000, 0.000, 0.000)
C (0.000, 0.000, 0.500)

For the volume, the calculation gives 17.09 Å³/atom.


ii.
First-principles (PBE-GGA) data for Zn2TeC after structural relaxation, as listed in Alexandria.

a b c (Å): 5.535 5.535 10.108
angles (deg): 90.00 90.00 90.00
Space group I-42d (No. 122)
Unique sites:
Zn (0.124, 0.250, 0.125)
Te (0.000, 0.000, 0.500)
C (0.000, 0.000, 0.000)

For the volume, the calculation gives 19.35 Å³/atom.


ii is favored, and the nearest alternative lies 76.4 kJ/mol of atoms above it.


i.
First-principles (PBE-GGA) data for ZnTeC2 after structural relaxation, as listed in Alexandria.

a b c (Å): 4.920 4.920 9.682
angles (deg): 90.00 90.00 90.00
Space group I-42d (No. 122)
Unique sites:
Zn (0.000, 0.000, 0.000)
Te (0.000, 0.000, 0.500)
C (0.249, 0.250, 0.125)

For the volume, the calculation gives 14.65 Å³/atom.


ii.
First-principles (PBE-GGA) data for ZnTeC2 after structural relaxation, as listed in Alexandria.

a b c (Å): 5.934 5.934 5.934
angles (deg): 90.00 90.00 90.00
Space group Fm-3m (No. 225)
Unique sites:
Zn (0.000, 0.000, 0.000)
Te (0.000, 0.000, 0.500)
C (0.250, 0.250, 0.250)

For the volume, the calculation gives 13.06 Å³/atom.


i is favored, and the nearest alternative lies 97.2 kJ/mol of atoms above it.


i.
First-principles (PBE-GGA) data for ZrTe2C2 after structural relaxation, as listed in Alexandria.

a b c (Å): 3.942 3.942 11.449
angles (deg): 90.00 90.00 90.00
Space group I4/mmm (No. 139)
Unique sites:
Zr (0.000, 0.000, 0.000)
Te (0.000, 0.000, 0.354)
C (0.000, 0.500, 0.250)

For the volume, the calculation gives 17.79 Å³/atom.


ii.
First-principles (PBE-GGA) data for ZrTe2C2 after structural relaxation, as listed in Alexandria.

a b c (Å): 7.605 7.605 3.284
angles (deg): 90.00 90.00 90.00
Space group P4/mbm (No. 127)
Unique sites:
Zr (0.000, 0.000, 0.000)
Te (0.149, 0.351, 0.000)
C (0.217, 0.717, 0.500)

For the volume, the calculation gives 18.99 Å³/atom.


ii is favored, and the nearest alternative lies 38.2 kJ/mol of atoms above it.


i.
First-principles (PBE-GGA) data for Th4C3 after structural relaxation, as listed in Alexandria.

a b c (Å): 3.7462 3.7462 37.6047
angles (deg): 90.00 90.00 120.00
Space group R-3m (No. 166, hexagonal axes)
Unique sites:
Th (0.0000, 0.0000, 0.1201)
Th (0.0000, 0.0000, 0.3736)
C (0.0000, 0.0000, 0.0000)
C (0.0000, 0.0000, 0.2467)

For the volume, the calculation gives 21.76 Å³/atom.


ii.
First-principles (PBE-GGA) data for Th4C3 after structural relaxation, as listed in Alexandria.

a b c (Å): 5.303 5.303 5.303
angles (deg): 90.00 90.00 90.00
Space group Pm-3m (No. 221)
Unique sites:
Th (0.000, 0.000, 0.000)
Th (0.000, 0.500, 0.500)
C (0.000, 0.000, 0.500)

For the volume, the calculation gives 21.30 Å³/atom.


i is favored, and the nearest alternative lies 4.0 kJ/mol of atoms above it.


i.
First-principles (PBE-GGA) data for Th5C4 after structural relaxation, as listed in Alexandria.

a b c (Å): 10.234 10.234 3.718
angles (deg): 90.00 90.00 90.00
Space group I4/m (No. 87)
Unique sites:
Th (0.000, 0.000, 0.000)
Th (0.083, 0.736, 0.500)
C (0.099, 0.222, 0.000)

For the volume, the calculation gives 21.64 Å³/atom.


ii.
First-principles (PBE-GGA) data for Th5C4 after structural relaxation, as listed in Alexandria.

a b c (Å): 12.167 9.089 3.471
angles (deg): 90.00 94.43 90.00
Space group C2/m (No. 12)
Unique sites:
Th (0.000, 0.000, 0.000)
Th (0.000, 0.314, 0.000)
Th (0.250, 0.000, 0.385)
C (0.120, 0.181, 0.576)

For the volume, the calculation gives 21.26 Å³/atom.


i is favored, and the nearest alternative lies 48.0 kJ/mol of atoms above it.


i.
First-principles (PBE-GGA) data for ThTiC after structural relaxation, as listed in Alexandria.

a b c (Å): 5.7864 5.7864 16.9699
angles (deg): 90.00 90.00 120.00
Space group R3 (No. 146, hexagonal axes)
Unique sites:
Th (0.0110, 0.6748, 0.0000)
Ti (0.9998, 0.3367, 0.8386)
C (0.0000, 0.0000, 0.2251)
C (0.0000, 0.0000, 0.4457)
C (0.0000, 0.0000, 0.8902)

For the volume, the calculation gives 18.22 Å³/atom.


ii.
First-principles (PBE-GGA) data for ThTiC after structural relaxation, as listed in Alexandria.

a b c (Å): 3.3459 3.3459 5.8678
angles (deg): 90.00 90.00 120.00
Space group P3m1 (No. 156)
Unique sites:
Th (0.0000, 0.0000, 0.0000)
Ti (0.6667, 0.3333, 0.4489)
C (0.3333, 0.6667, 0.2978)

For the volume, the calculation gives 18.96 Å³/atom.


ii is favored, and the nearest alternative lies 4.7 kJ/mol of atoms above it.


i.
First-principles (PBE-GGA) data for ThTiC2 after structural relaxation, as listed in Alexandria.

a b c (Å): 5.824 3.628 11.129
angles (deg): 90.00 90.00 90.00
Space group Pnma (No. 62)
Unique sites:
Th (0.089, 0.250, 0.144)
Ti (0.086, 0.750, 0.398)
C (0.146, 0.250, 0.750)
C (0.208, 0.250, 0.476)

For the volume, the calculation gives 14.70 Å³/atom.


ii.
First-principles (PBE-GGA) data for ThTiC2 after structural relaxation, as listed in Alexandria.

a b c (Å): 3.4259 3.4259 17.0535
angles (deg): 90.00 90.00 120.00
Space group R-3m (No. 166, hexagonal axes)
Unique sites:
Th (0.0000, 0.0000, 0.0000)
Ti (0.0000, 0.0000, 0.5000)
C (0.0000, 0.0000, 0.2355)

For the volume, the calculation gives 14.44 Å³/atom.


i is favored, and the nearest alternative lies 19.7 kJ/mol of atoms above it.


i.
First-principles (PBE-GGA) data for Th6Tl2C after structural relaxation, as listed in Alexandria.

a b c (Å): 6.486 8.412 11.435
angles (deg): 90.00 120.69 90.00
Space group P2_1/c (No. 14)
Unique sites:
Th (0.119, 0.155, 0.464)
Th (0.317, 0.726, 0.451)
Th (0.358, 0.031, 0.243)
Tl (0.183, 0.102, 0.772)
C (0.500, 0.000, 0.500)

For the volume, the calculation gives 29.81 Å³/atom.


ii.
First-principles (PBE-GGA) data for Th6Tl2C after structural relaxation, as listed in Alexandria.

a b c (Å): 7.107 7.107 10.082
angles (deg): 90.00 90.00 90.00
Space group I4/mmm (No. 139)
Unique sites:
Th (0.000, 0.000, 0.250)
Th (0.250, 0.250, 0.000)
Tl (0.000, 0.500, 0.250)
C (0.000, 0.000, 0.000)

For the volume, the calculation gives 28.30 Å³/atom.


ii is favored, and the nearest alternative lies 4.8 kJ/mol of atoms above it.


i.
First-principles (PBE-GGA) data for TmTh2C2 after structural relaxation, as listed in Alexandria.

a b c (Å): 7.291 5.327 10.987
angles (deg): 90.00 90.00 90.00
Space group Pnma (No. 62)
Unique sites:
Tm (0.151, 0.250, 0.096)
Th (0.097, 0.250, 0.761)
Th (0.135, 0.250, 0.419)
C (0.101, 0.750, 0.749)
C (0.132, 0.750, 0.418)

For the volume, the calculation gives 21.34 Å³/atom.


ii.
First-principles (PBE-GGA) data for TmTh2C2 after structural relaxation, as listed in Alexandria.

a b c (Å): 11.669 5.370 7.304
angles (deg): 90.00 110.49 90.00
Space group C2/m (No. 12)
Unique sites:
Tm (0.157, 0.000, 0.092)
Th (0.007, 0.500, 0.746)
Th (0.166, 0.000, 0.584)
C (0.003, 0.000, 0.247)
C (0.162, 0.500, 0.583)

For the volume, the calculation gives 21.43 Å³/atom.


ii is favored, and the nearest alternative lies 2.5 kJ/mol of atoms above it.